Below is MgBiAs2O8 after structural relaxation, with properties calculated at the PBE-GGA level.

Structure (POSCAR):
```
MgBiAs2O8
1.0
5.5160 0.0000 0.0000
-2.7580 4.7770 0.0000
0.0000 0.0000 6.6304
Mg Bi As O
1 1 2 8
Direct
0.0000 0.0000 0.0000 Mg
0.0000 0.0000 0.5000 Bi
0.6667 0.3333 0.2862 As
0.3333 0.6667 0.7138 As
0.8388 0.1612 0.2108 O
0.8388 0.6777 0.2108 O
0.3223 0.1612 0.2108 O
0.6777 0.8388 0.7892 O
0.3333 0.6667 0.4561 O
0.6667 0.3333 0.5439 O
0.1612 0.8388 0.7892 O
0.1612 0.3223 0.7892 O
```

Properties
Space-group type: No. 164
DOS at the Fermi energy in states/eV/f.u.: 10.7
E_form (uncorrected) in meV/atom: -1325.3
V in Å³ per cell: 174.7